[1]
Material: LiEuYSb
Method: DFT, PBE
State: optimized geometry

The space group is F-43m (No. 216) and the conventional cell measures 7.5401, 7.5401 and 7.5401 Å, with angles of 90.00, 90.00 and 90.00 degrees. Symmetry generates all atoms from Li at (0.0000, 0.0000, 0.0000), Eu at (0.2500, 0.2500, 0.7500), Y at (0.2500, 0.2500, 0.2500) and Sb at (0.0000, 0.0000, 0.5000).

The value obtained for the density of states at the Fermi level is 12.5 states/eV per cell. The value obtained for the calculated total energy is -6.175 eV per atom. The uncorrected formation energy is -0.482 eV/atom.

=====

[2]
Material: LiEuZnSb
Method: DFT, PBE
State: optimized geometry

The space group is F-43m (No. 216) and the conventional cell measures 7.3402, 7.3402 and 7.3402 Å, with angles of 90.00, 90.00 and 90.00 degrees. Symmetry generates all atoms from Li at (0.0000, 0.0000, 0.0000), Eu at (0.0000, 0.0000, 0.5000), Zn at (0.2500, 0.2500, 0.7500) and Sb at (0.2500, 0.2500, 0.2500).

The value obtained for the density of states at the Fermi level is 2.7 states/eV per cell. The value obtained for the calculated total energy is -4.927 eV per atom. The uncorrected formation energy is -0.531 eV/atom.

=====

[3]
Material: Li2EuSc
Method: DFT, PBE
State: optimized geometry

The space group is Fm-3m (No. 225) and the conventional cell measures 7.4804, 7.4804 and 7.4804 Å, with angles of 90.00, 90.00 and 90.00 degrees. Symmetry generates all atoms from Li at (0.2500, 0.2500, 0.2500), Eu at (0.0000, 0.0000, 0.0000) and Sc at (0.0000, 0.0000, 0.5000).

The value obtained for the density of states at the Fermi level is 24.6 states/eV per cell. The distance to the lowest polymorph of the same formula is 0.0293 eV per atom. For the formation energy from the elements, the calculation gives 209 meV per atom. The value obtained for the calculated total energy is -4.899 eV per atom.

=====

[4]
Material: LiEu2Sc
Method: DFT, PBE
State: optimized geometry

The space group is P4/mmm (No. 123) and the conventional cell measures 3.7134, 3.7134 and 9.2417 Å, with angles of 90.00, 90.00 and 90.00 degrees. Symmetry generates all atoms from Li at (0.0000, 0.0000, 0.0000), Eu at (0.5000, 0.5000, 0.2423) and Sc at (0.0000, 0.0000, 0.5000).

The value obtained for the density of states at the Fermi level is 4.7 states/eV per cell. The distance to the lowest polymorph of the same formula is 0.0000 eV per atom. For the formation energy from the elements, the calculation gives 152 meV per atom. The value obtained for the calculated total energy is -7.047 eV per atom.

=====

[5]
Material: LiEu2Sc
Method: DFT, PBE
State: optimized geometry

The space group is P4/mmm (No. 123) and the conventional cell measures 5.7662, 5.7662 and 3.8317 Å, with angles of 90.00, 90.00 and 90.00 degrees. Symmetry generates all atoms from Li at (0.0000, 0.0000, 0.0000), Eu at (0.0000, 0.5000, 0.5000) and Sc at (0.5000, 0.5000, 0.0000).

The value obtained for the density of states at the Fermi level is 4.6 states/eV per cell. The distance to the lowest polymorph of the same formula is 0.0192 eV per atom. For the formation energy from the elements, the calculation gives 171 meV per atom. The value obtained for the calculated total energy is -7.028 eV per atom.

=====

[6]
Material: Li2EuSc
Method: DFT, PBE
State: optimized geometry

The space group is P4/mmm (No. 123) and the conventional cell measures 3.6998, 3.6998 and 7.6179 Å, with angles of 90.00, 90.00 and 90.00 degrees. Symmetry generates all atoms from Li at (0.0000, 0.0000, 0.2131), Eu at (0.5000, 0.5000, 0.5000) and Sc at (0.5000, 0.5000, 0.0000).

The value obtained for the density of states at the Fermi level is 7.3 states/eV per cell. The distance to the lowest polymorph of the same formula is 0.0000 eV per atom. For the formation energy from the elements, the calculation gives 180 meV per atom. The value obtained for the calculated total energy is -4.928 eV per atom.

=====

[7]
Material: LiEu2Sc
Method: DFT, PBE
State: optimized geometry

The space group is Fm-3m (No. 225) and the conventional cell measures 8.0263, 8.0263 and 8.0263 Å, with angles of 90.00, 90.00 and 90.00 degrees. Symmetry generates all atoms from Li at (0.0000, 0.0000, 0.0000), Eu at (0.2500, 0.2500, 0.2500) and Sc at (0.0000, 0.0000, 0.5000).

The value obtained for the density of states at the Fermi level is 17.8 states/eV per cell. The distance to the lowest polymorph of the same formula is 0.0752 eV per atom. For the formation energy from the elements, the calculation gives 227 meV per atom. The value obtained for the calculated total energy is -6.972 eV per atom.

=====

[8]
Material: LiEu2Sc
Method: DFT, PBE
State: optimized geometry

The space group is R-3m (No. 166, hexagonal axes) and the conventional cell measures 3.4353, 3.4353 and 36.2034 Å, with angles of 90.00, 90.00 and 120.00 degrees. Symmetry generates all atoms from Li at (0.0000, 0.0000, 0.0000), Eu at (0.0000, 0.0000, 0.4132) and Sc at (0.0000, 0.0000, 0.5000).

The value obtained for the density of states at the Fermi level is 14.0 states/eV per cell. The distance to the lowest polymorph of the same formula is 0.1601 eV per atom. For the formation energy from the elements, the calculation gives 312 meV per atom. The value obtained for the calculated total energy is -6.887 eV per atom.

=====

[9]
Material: LiTbEuSc
Method: DFT, PBE
State: optimized geometry

The space group is F-43m (No. 216) and the conventional cell measures 7.7543, 7.7543 and 7.7543 Å, with angles of 90.00, 90.00 and 90.00 degrees. Symmetry generates all atoms from Li at (0.0000, 0.0000, 0.0000), Tb at (0.2500, 0.2500, 0.2500), Eu at (0.2500, 0.2500, 0.7500) and Sc at (0.0000, 0.0000, 0.5000).

The value obtained for the density of states at the Fermi level is 18.4 states/eV per cell. For the formation energy from the elements, the calculation gives 213 meV per atom. The value obtained for the calculated total energy is -5.575 eV per atom.

=====

[10]
Material: Li5Eu3Se12
Method: DFT, PBE
State: optimized geometry

The space group is Ia-3d (No. 230) and the conventional cell measures 16.9832, 16.9832 and 16.9832 Å, with angles of 90.00, 90.00 and 90.00 degrees. Symmetry generates all atoms from Li at (0.0000, 0.0000, 0.0000), Li at (0.0000, 0.2500, 0.3750), Eu at (0.0000, 0.2500, 0.1250) and Se at (0.0240, 0.0904, 0.6849).

The value obtained for the density of states at the Fermi level is 202.4 states/eV per cell. The value obtained for the calculated total energy is -4.989 eV per atom. The uncorrected formation energy is -0.878 eV/atom.

=====

[11]
Material: LiEu2Se
Method: DFT, PBE
State: optimized geometry

The space group is P4/mmm (No. 123) and the conventional cell measures 3.8836, 3.8836 and 7.5514 Å, with angles of 90.00, 90.00 and 90.00 degrees. Symmetry generates all atoms from Li at (0.0000, 0.0000, 0.0000), Eu at (0.5000, 0.5000, 0.2734) and Se at (0.0000, 0.0000, 0.5000).

The value obtained for the density of states at the Fermi level is 2.0 states/eV per cell. The value obtained for the calculated total energy is -7.312 eV per atom. The uncorrected formation energy is -0.825 eV/atom.

=====

[12]
Material: LiEuSi
Method: DFT, PBE
State: optimized geometry

The space group is I4mm (No. 107) and the conventional cell measures 3.5034, 3.5034 and 10.8495 Å, with angles of 90.00, 90.00 and 90.00 degrees. Symmetry generates all atoms from Li at (0.0000, 0.0000, 0.0000), Eu at (0.0000, 0.0000, 0.7177) and Si at (0.0000, 0.0000, 0.4020).

The value obtained for the density of states at the Fermi level is 7.3 states/eV per cell. The value obtained for the calculated total energy is -6.010 eV per atom. The uncorrected formation energy is -0.139 eV/atom.

=====

[13]
Material: LiEuSi4
Method: DFT, PBE
State: optimized geometry

The space group is F-43m (No. 216) and the conventional cell measures 7.4256, 7.4256 and 7.4256 Å, with angles of 90.00, 90.00 and 90.00 degrees. Symmetry generates all atoms from Li at (0.0000, 0.0000, 0.0000), Eu at (0.2500, 0.2500, 0.7500) and Si at (0.1262, 0.1262, 0.3738).

The value obtained for the density of states at the Fermi level is 17.7 states/eV per cell. The value obtained for the calculated total energy is -5.823 eV per atom. The uncorrected formation energy is -0.176 eV/atom.

=====

Calculated total magnetic moment (μB/atom), listed in the same order as above: 1.9862 1.7527 1.9243 3.9756 3.6984 1.8888 3.7853 3.6403 1.7759 1.0009 3.6876 2.4771 1.1143